The following is a DFT calculation (meta-GGA SCAN) of Zr2CdP at its PBEsol-relaxed geometry.

- volume (Å³/cell) = 148
- density of states at the Fermi level (states/eV/f.u.) = 1.9
- SG = I4/mmm (139)
- ΔH_f (0 K) (eV/atom) = -0.44
- excess energy over the best structure of this formula in the dataset (eV/atom) = 0.395
- size of the total moment (μB per atom) = 0.000

```
Zr2CdP
1.0
4.338 0.000 0.000
0.000 4.338 0.000
0.000 0.000 7.880
Zr Cd P
4 2 2
direct
0.000 0.500 0.250
0.000 0.500 0.750
0.500 0.000 0.250
0.500 0.000 0.750
0.000 0.000 0.000
0.500 0.500 0.500
0.000 0.000 0.500
0.500 0.500 0.000
```